# Li6Hg12Bi

Crystalline Li6Hg12Bi at its relaxed geometry (PBE-GGA, the Alexandria database).

CIF file:
```
data_Li6Hg12Bi
_chemical_formula_sum 'Li6 Hg12 Bi1'
_symmetry_space_group_name_H-M 'P 1'
_symmetry_Int_Tables_number 1
_symmetry_space_group_name_Hall 'P 1'
_cell_length_a 7.529
_cell_length_b 7.529
_cell_length_c 7.529
_cell_angle_alpha 89.53
_cell_angle_beta 89.53
_cell_angle_gamma 89.53
loop_
_atom_site_label
_atom_site_type_symbol
_atom_site_fract_x
_atom_site_fract_y
_atom_site_fract_z
Hg1 Hg 0.909 0.853 0.592
Hg2 Hg 0.518 0.398 0.815
Hg3 Hg 0.482 0.602 0.185
Hg4 Hg 0.147 0.408 0.091
Hg5 Hg 0.815 0.518 0.398
Hg6 Hg 0.091 0.147 0.408
Hg7 Hg 0.408 0.091 0.147
Hg8 Hg 0.853 0.592 0.909
Hg9 Hg 0.398 0.815 0.518
Hg10 Hg 0.592 0.909 0.853
Hg11 Hg 0.185 0.482 0.602
Hg12 Hg 0.602 0.185 0.482
Bi1 Bi 0.000 0.000 0.000
Li1 Li 0.741 0.280 0.116
Li2 Li 0.884 0.259 0.720
Li3 Li 0.259 0.720 0.884
Li4 Li 0.116 0.741 0.280
Li5 Li 0.720 0.884 0.259
Li6 Li 0.280 0.116 0.741
```

Values from the calculation:
The value obtained for the formation enthalpy at 0 K is -0.22 eV/atom.


# Li5Hg2Bi4

Crystalline Li5Hg2Bi4 at its relaxed geometry (PBE-GGA, the Alexandria database).

CIF file:
```
data_Li5Hg2Bi4
_chemical_formula_sum 'Li10 Hg4 Bi8'
_symmetry_space_group_name_H-M 'P 1'
_symmetry_Int_Tables_number 1
_symmetry_space_group_name_Hall 'P 1'
_cell_length_a 3.434
_cell_length_b 8.243
_cell_length_c 17.955
_cell_angle_alpha 90.00
_cell_angle_beta 90.00
_cell_angle_gamma 90.00
loop_
_atom_site_label
_atom_site_type_symbol
_atom_site_fract_x
_atom_site_fract_y
_atom_site_fract_z
Li1 Li 0.000 0.268 0.291
Li2 Li 0.000 0.768 0.209
Li3 Li 0.000 0.614 0.928
Li4 Li 0.000 0.000 0.000
Li5 Li 0.000 0.386 0.072
Li6 Li 0.000 0.732 0.709
Li7 Li 0.000 0.114 0.572
Li8 Li 0.000 0.500 0.500
Li9 Li 0.000 0.232 0.791
Li10 Li 0.000 0.886 0.428
Hg1 Hg 0.500 0.466 0.196
Hg2 Hg 0.500 0.966 0.304
Hg3 Hg 0.500 0.534 0.804
Hg4 Hg 0.500 0.034 0.696
Bi1 Bi 0.500 0.401 0.644
Bi2 Bi 0.500 0.901 0.856
Bi3 Bi 0.500 0.289 0.938
Bi4 Bi 0.500 0.211 0.438
Bi5 Bi 0.500 0.099 0.144
Bi6 Bi 0.500 0.711 0.062
Bi7 Bi 0.500 0.789 0.562
Bi8 Bi 0.500 0.599 0.356
```

Values from the calculation:
The value obtained for the formation enthalpy at 0 K is -0.33 eV/atom.


# Li2HgBi

Crystalline Li2HgBi at its relaxed geometry (PBE-GGA, the Alexandria database).

CIF file:
```
data_Li2HgBi
_chemical_formula_sum 'Li2 Hg1 Bi1'
_symmetry_space_group_name_H-M 'P 1'
_symmetry_Int_Tables_number 1
_symmetry_space_group_name_Hall 'P 1'
_cell_length_a 3.464
_cell_length_b 3.464
_cell_length_c 7.011
_cell_angle_alpha 90.00
_cell_angle_beta 90.00
_cell_angle_gamma 90.00
loop_
_atom_site_label
_atom_site_type_symbol
_atom_site_fract_x
_atom_site_fract_y
_atom_site_fract_z
Li1 Li 0.000 0.000 0.222
Li2 Li 0.000 0.000 0.778
Bi1 Bi 0.500 0.500 0.500
Hg1 Hg 0.500 0.500 0.000
```

Values from the calculation:
The value obtained for the formation enthalpy at 0 K is -0.37 eV/atom.


# Li5Hg4Bi2

Crystalline Li5Hg4Bi2 at its relaxed geometry (PBE-GGA, the Alexandria database).

CIF file:
```
data_Li5Hg4Bi2
_chemical_formula_sum 'Li10 Hg8 Bi4'
_symmetry_space_group_name_H-M 'P 1'
_symmetry_Int_Tables_number 1
_symmetry_space_group_name_Hall 'P 1'
_cell_length_a 3.442
_cell_length_b 7.409
_cell_length_c 18.260
_cell_angle_alpha 90.00
_cell_angle_beta 90.00
_cell_angle_gamma 90.00
loop_
_atom_site_label
_atom_site_type_symbol
_atom_site_fract_x
_atom_site_fract_y
_atom_site_fract_z
Hg1 Hg 0.500 0.597 0.118
Hg2 Hg 0.500 0.097 0.382
Hg3 Hg 0.500 0.403 0.882
Hg4 Hg 0.500 0.795 0.956
Hg5 Hg 0.500 0.705 0.456
Hg6 Hg 0.500 0.295 0.544
Hg7 Hg 0.500 0.903 0.618
Hg8 Hg 0.500 0.205 0.044
Li1 Li 0.000 0.708 0.830
Li2 Li 0.000 0.402 0.422
Li3 Li 0.000 0.500 0.000
Li4 Li 0.000 0.208 0.670
Li5 Li 0.000 0.292 0.170
Li6 Li 0.000 0.098 0.922
Li7 Li 0.000 0.792 0.330
Li8 Li 0.000 0.902 0.078
Li9 Li 0.000 0.000 0.500
Li10 Li 0.000 0.598 0.578
Bi1 Bi 0.500 0.539 0.712
Bi2 Bi 0.500 0.961 0.212
Bi3 Bi 0.500 0.461 0.288
Bi4 Bi 0.500 0.039 0.788
```

Values from the calculation:
The value obtained for the formation enthalpy at 0 K is -0.33 eV/atom.


# LiHgBi2

Crystalline LiHgBi2 at its relaxed geometry (PBE-GGA, the Alexandria database).

CIF file:
```
data_LiHgBi2
_chemical_formula_sum 'Li1 Hg1 Bi2'
_symmetry_space_group_name_H-M 'P 1'
_symmetry_Int_Tables_number 1
_symmetry_space_group_name_Hall 'P 1'
_cell_length_a 3.454
_cell_length_b 3.454
_cell_length_c 8.882
_cell_angle_alpha 90.00
_cell_angle_beta 90.00
_cell_angle_gamma 90.00
loop_
_atom_site_label
_atom_site_type_symbol
_atom_site_fract_x
_atom_site_fract_y
_atom_site_fract_z
Bi1 Bi 0.000 0.000 0.203
Bi2 Bi 0.000 0.000 0.797
Li1 Li 0.500 0.500 0.000
Hg1 Hg 0.500 0.500 0.500
```

Values from the calculation:
The value obtained for the formation enthalpy at 0 K is -0.14 eV/atom.


# LiHg2Bi

Crystalline LiHg2Bi at its relaxed geometry (PBE-GGA, the Alexandria database).

CIF file:
```
data_LiHg2Bi
_chemical_formula_sum 'Li1 Hg2 Bi1'
_symmetry_space_group_name_H-M 'P 1'
_symmetry_Int_Tables_number 1
_symmetry_space_group_name_Hall 'P 1'
_cell_length_a 3.407
_cell_length_b 3.407
_cell_length_c 10.466
_cell_angle_alpha 80.63
_cell_angle_beta 80.63
_cell_angle_gamma 60.00
loop_
_atom_site_label
_atom_site_type_symbol
_atom_site_fract_x
_atom_site_fract_y
_atom_site_fract_z
Bi1 Bi 0.000 0.000 0.000
Hg1 Hg 0.100 0.100 0.700
Hg2 Hg 0.900 0.900 0.300
Li1 Li 0.500 0.500 0.500
```

Values from the calculation:
The value obtained for the formation enthalpy at 0 K is -0.11 eV/atom.


# Li5HgBi

Crystalline Li5HgBi at its relaxed geometry (PBE-GGA, the Alexandria database).

CIF file:
```
data_Li5HgBi
_chemical_formula_sum 'Li5 Hg1 Bi1'
_symmetry_space_group_name_H-M 'P 1'
_symmetry_Int_Tables_number 1
_symmetry_space_group_name_Hall 'P 1'
_cell_length_a 4.507
_cell_length_b 4.507
_cell_length_c 7.036
_cell_angle_alpha 90.00
_cell_angle_beta 90.00
_cell_angle_gamma 89.94
loop_
_atom_site_label
_atom_site_type_symbol
_atom_site_fract_x
_atom_site_fract_y
_atom_site_fract_z
Li1 Li 0.000 0.500 0.241
Li2 Li 0.500 0.000 0.759
Li3 Li 0.000 0.000 0.500
Li4 Li 0.000 0.500 0.759
Li5 Li 0.500 0.000 0.241
Hg1 Hg 0.000 0.000 0.000
Bi1 Bi 0.500 0.500 0.500
```

Values from the calculation:
The value obtained for the formation enthalpy at 0 K is -0.34 eV/atom.


# Li4HgBi2

Crystalline Li4HgBi2 at its relaxed geometry (PBE-GGA, the Alexandria database).

CIF file:
```
data_Li4HgBi2
_chemical_formula_sum 'Li8 Hg2 Bi4'
_symmetry_space_group_name_H-M 'P 1'
_symmetry_Int_Tables_number 1
_symmetry_space_group_name_Hall 'P 1'
_cell_length_a 7.832
_cell_length_b 5.821
_cell_length_c 7.043
_cell_angle_alpha 90.00
_cell_angle_beta 89.34
_cell_angle_gamma 90.00
loop_
_atom_site_label
_atom_site_type_symbol
_atom_site_fract_x
_atom_site_fract_y
_atom_site_fract_z
Li1 Li 0.459 0.000 0.692
Li2 Li 0.459 0.500 0.692
Li3 Li 0.541 0.000 0.308
Li4 Li 0.069 0.750 0.819
Li5 Li 0.115 0.750 0.360
Li6 Li 0.541 0.500 0.308
Li7 Li 0.931 0.250 0.181
Li8 Li 0.885 0.250 0.640
Bi1 Bi 0.205 0.250 0.897
Bi2 Bi 0.767 0.750 0.582
Bi3 Bi 0.795 0.750 0.103
Bi4 Bi 0.233 0.250 0.418
Hg1 Hg 0.642 0.250 0.957
Hg2 Hg 0.358 0.750 0.043
```

Values from the calculation:
The value obtained for the formation enthalpy at 0 K is -0.33 eV/atom. The excess energy over the best structure of this formula in the dataset is 56 meV/atom.


# Li3HgBi2

Crystalline Li3HgBi2 at its relaxed geometry (PBE-GGA, the Alexandria database).

CIF file:
```
data_Li3HgBi2
_chemical_formula_sum 'Li6 Hg2 Bi4'
_symmetry_space_group_name_H-M 'P 1'
_symmetry_Int_Tables_number 1
_symmetry_space_group_name_Hall 'P 1'
_cell_length_a 6.007
_cell_length_b 6.228
_cell_length_c 8.287
_cell_angle_alpha 103.72
_cell_angle_beta 111.25
_cell_angle_gamma 90.00
loop_
_atom_site_label
_atom_site_type_symbol
_atom_site_fract_x
_atom_site_fract_y
_atom_site_fract_z
Li1 Li 0.609 0.250 0.000
Li2 Li 0.271 0.041 0.332
Li3 Li 0.061 0.541 0.332
Li4 Li 0.939 0.459 0.668
Li5 Li 0.391 0.750 0.000
Li6 Li 0.729 0.959 0.668
Bi1 Bi 0.233 0.935 0.675
Bi2 Bi 0.558 0.565 0.325
Bi3 Bi 0.442 0.435 0.675
Bi4 Bi 0.767 0.065 0.325
Hg1 Hg 0.917 0.750 0.000
Hg2 Hg 0.083 0.250 0.000
```

Values from the calculation:
The value obtained for the formation enthalpy at 0 K is -0.31 eV/atom. The excess energy over the best structure of this formula in the dataset is 63 meV/atom.


# Li2HgBi

Crystalline Li2HgBi at its relaxed geometry (PBE-GGA, the Alexandria database).

CIF file:
```
data_Li2HgBi
_chemical_formula_sum 'Li2 Hg1 Bi1'
_symmetry_space_group_name_H-M 'P 1'
_symmetry_Int_Tables_number 1
_symmetry_space_group_name_Hall 'P 1'
_cell_length_a 3.380
_cell_length_b 5.026
_cell_length_c 5.026
_cell_angle_alpha 90.00
_cell_angle_beta 90.00
_cell_angle_gamma 90.00
loop_
_atom_site_label
_atom_site_type_symbol
_atom_site_fract_x
_atom_site_fract_y
_atom_site_fract_z
Bi1 Bi 0.500 0.000 0.000
Li1 Li 0.000 0.000 0.500
Li2 Li 0.000 0.500 0.000
Hg1 Hg 0.500 0.500 0.500
```

Values from the calculation:
The value obtained for the formation enthalpy at 0 K is -0.38 eV/atom.


# Li2Hg3Bi2

Crystalline Li2Hg3Bi2 at its relaxed geometry (PBE-GGA, the Alexandria database).

CIF file:
```
data_Li2Hg3Bi2
_chemical_formula_sum 'Li2 Hg3 Bi2'
_symmetry_space_group_name_H-M 'P 1'
_symmetry_Int_Tables_number 1
_symmetry_space_group_name_Hall 'P 1'
_cell_length_a 3.558
_cell_length_b 7.205
_cell_length_c 7.752
_cell_angle_alpha 115.12
_cell_angle_beta 90.00
_cell_angle_gamma 104.29
loop_
_atom_site_label
_atom_site_type_symbol
_atom_site_fract_x
_atom_site_fract_y
_atom_site_fract_z
Hg1 Hg 0.400 0.801 0.559
Hg2 Hg 0.500 0.000 0.000
Hg3 Hg 0.600 0.199 0.441
Li1 Li 0.812 0.624 0.739
Li2 Li 0.188 0.376 0.261
Bi1 Bi 0.148 0.295 0.835
Bi2 Bi 0.852 0.705 0.165
```

Values from the calculation:
The value obtained for the formation enthalpy at 0 K is -0.16 eV/atom.